Here is a relaxed K3Cr2InBr9 crystal from Alexandria. Energies are from GGA-PBE.

Summary:
**V**: 33.266 Å³/atom
**Total moment**: 7.00 Bohr magnetons per cell
**E_form (uncorrected)**: -1.081 eV per atom
**Density of states at the Fermi level**: 0.26 states/eV per atom

Unit cell a=7.5380 b=7.5380 c=10.1402 alpha=90.00 beta=90.00 gamma=120.00
With the nearest neighbours (Å) after each atom.
Fractional coordinates of all 15 atoms:
K (0.0000, 0.0000, 0.0000)  12 Br 3.73-3.77
K (0.3333, 0.6667, 0.7276)  9 Br 3.52-3.78
K (0.6667, 0.3333, 0.2724)  9 Br 3.52-3.78
Cr (0.3333, 0.6667, 0.1556)  6 Br 2.53-2.69
Cr (0.6667, 0.3333, 0.8444)  6 Br 2.53-2.69
In (0.0000, 0.0000, 0.5000)  6 Br 3.07
Br (0.0000, 0.5000, 0.0000)  2 Cr 2.69
Br (0.1722, 0.3445, 0.2938)  1 Cr 2.53
Br (0.1722, 0.8278, 0.2938)  1 Cr 2.53
Br (0.3445, 0.1722, 0.7062)  1 Cr 2.53
Br (0.5000, 0.0000, 0.0000)  2 Cr 2.69
Br (0.5000, 0.5000, 0.0000)  2 Cr 2.69
Br (0.6555, 0.8278, 0.2938)  1 Cr 2.53
Br (0.8278, 0.1722, 0.7062)  1 Cr 2.53
Br (0.8278, 0.6555, 0.7062)  1 Cr 2.53